Entry from Alexandria via LeMat-Bulk: an optimized crystal structure of GeSbIr3 (GGA-PBE).

Its magnetization is 0.0 Bohr magnetons per cell. The value obtained for the formation energy from raw total energies is 0.93 eV/atom. For the polymorph energy (0 for the lowest one), the calculation gives 0.0000 eV per atom. The calculated total energy comes out at -6.13 eV/atom. The density of states at the Fermi level comes out at 2.941 states/eV/f.u.

The space group is Pm-3m (No. 221) and the conventional cell measures 4.6203, 4.6203 and 4.6203 Å, with angles of 90.00, 90.00 and 90.00 degrees. The inequivalent atoms are Ge at (0.0000, 0.0000, 0.0000), Sb at (0.5000, 0.5000, 0.5000) and Ir at (0.0000, 0.0000, 0.5000).